No. 1
A plane-wave DFT calculation with PBE was carried out for a geometry-optimized Th2UBi structure.

Results
The value obtained for the magnetization is 0.4418 μB/atom. The calculation puts the formation energy at 0.441 eV per atom.

abc: 3.9941 3.9941 24.9621
angles: 90.00 90.00 120.00
Space group R-3m (No. 166, hexagonal axes)
Inequivalent atoms, fractional coordinates:
Th1 0.0000 0.0000 0.2365 [6 per cell]
U1 0.0000 0.0000 0.5000 [3 per cell]
Bi1 0.0000 0.0000 0.0000 [3 per cell]


No. 2
A plane-wave DFT calculation with PBE was carried out for a geometry-optimized ThUBi2 structure.

Results
Its energy above the most stable polymorph in this dataset is 0.00 eV/f.u. The value obtained for the magnetization is 0.7394 μB/atom. The calculation puts the formation energy at -0.193 eV per atom.

abc: 4.4847 4.4847 22.9494
angles: 90.00 90.00 120.00
Space group R-3m (No. 166, hexagonal axes)
Inequivalent atoms, fractional coordinates:
Th1 0.0000 0.0000 0.0000 [3 per cell]
U1 0.0000 0.0000 0.5000 [3 per cell]
Bi1 0.0000 0.0000 0.2480 [6 per cell]


No. 3
A plane-wave DFT calculation with PBE was carried out for a geometry-optimized ThVBi structure.

Results
The value obtained for the magnetization is 0.0000 μB/atom. The calculation puts the formation energy at 0.243 eV per atom.

abc: 6.1747 6.2735 17.0719
angles: 90.00 90.00 90.00
Space group Fmmm (No. 69)
Inequivalent atoms, fractional coordinates:
Th1 0.0000 0.0000 0.1831 [8 per cell]
V1 0.1499 0.0000 0.0000 [8 per cell]
Bi1 0.0000 0.0000 0.3820 [8 per cell]


Number 1: N(E_F) 1.971 states/eV per atom. Number 2: N(E_F) 1.593 states/eV per atom. Number 3: N(E_F) 1.226 states/eV per atom.